1.
VASP calculation (SCAN) on a crystal of NiBrCl2 relaxed with PBEsol.

Unit cell a=3.1207 b=6.6477 c=8.9881 alpha=90.00 beta=90.00 gamma=90.00
Space group Imm2 (No. 44)
Symmetry-distinct sites (fractional):
Ni 0.0000 0.0000 0.0000
Br 0.0000 0.5000 0.6815
Cl 0.0000 0.0000 0.4959
Cl 0.0000 0.5000 0.3363

Formation energy from raw total energies, eV per atom: -0.22
Total DFT energy (no corrections), eV for the cell shown: -105.0
V, Å³ per cell: 186



2.
VASP calculation (SCAN) on a crystal of TaZn2Ru relaxed with PBEsol.

Unit cell a=5.1100 b=8.1868 c=2.7698 alpha=90.00 beta=90.00 gamma=90.00
Space group Cmmm (No. 65)
Symmetry-distinct sites (fractional):
Ta 0.0000 0.0000 0.0000
Zn 0.2500 0.2500 0.5000
Ru 0.0000 0.5000 0.0000

Energy of formation from the pure elements, eV per atom: 0.040
Total DFT energy (no corrections), eV for the cell shown: -256.6
V, Å³ per cell: 116



3.
VASP calculation (SCAN) on a crystal of MnAgW relaxed with PBEsol.

Unit cell a=3.0585 b=3.0585 c=9.2948 alpha=90.00 beta=90.00 gamma=90.00
Space group I4mm (No. 107)
Symmetry-distinct sites (fractional):
Mn 0.0000 0.0000 0.0000
Ag 0.0000 0.0000 0.3169
W 0.0000 0.0000 0.6209

Energy of formation from the pure elements, eV per atom: 0.574
Total DFT energy (no corrections), eV for the cell shown: -235.2
V, Å³ per cell: 87



4.
VASP calculation (SCAN) on a crystal of Sc4Hg relaxed with PBEsol.

Unit cell a=6.9674 b=6.9674 c=4.5372 alpha=90.00 beta=90.00 gamma=90.00
Space group I4/m (No. 87)
Symmetry-distinct sites (fractional):
Sc 0.1133 0.6909 0.0000
Hg 0.0000 0.0000 0.5000

Energy of formation from the pure elements, eV per atom: -0.219
Total DFT energy (no corrections), eV for the cell shown: -252.4
V, Å³ per cell: 220



5.
VASP calculation (SCAN) on a crystal of InSb2Te relaxed with PBEsol.

Unit cell a=3.0899 b=6.1965 c=6.1835 alpha=90.00 beta=103.58 gamma=90.00
Space group Pm (No. 6)
Symmetry-distinct sites (fractional):
In 0.0000 0.0000 0.0000
Sb 0.2283 0.5000 0.4992
Sb 0.2471 0.0000 0.5216
Te 0.0019 0.5000 0.0086

Formation energy from raw total energies, eV per atom: -0.01
Total DFT energy (no corrections), eV for the cell shown: -145.2
V, Å³ per cell: 115



6.
VASP calculation (SCAN) on a crystal of Rb2LiS2 relaxed with PBEsol.

Unit cell a=7.3841 b=7.3841 c=4.9168 alpha=90.00 beta=90.00 gamma=90.00
Space group P4/mbm (No. 127)
Symmetry-distinct sites (fractional):
Rb 0.1550 0.3450 0.0000
Li 0.0000 0.0000 0.5000
S 0.1502 0.6502 0.5000

Formation energy from raw total energies, eV per atom: -0.89
Total DFT energy (no corrections), eV for the cell shown: -135.1
V, Å³ per cell: 268



7.
VASP calculation (SCAN) on a crystal of LiMn5O7F relaxed with PBEsol.

Unit cell a=6.0300 b=6.0300 c=14.3058 alpha=90.00 beta=90.00 gamma=120.00
Space group R3m (No. 160, hexagonal axes)
Symmetry-distinct sites (fractional):
Li 0.0000 0.0000 0.0000
Mn 0.0000 0.0000 0.3860
Mn 0.0000 0.0000 0.7779
Mn 0.1697 0.3394 0.2265
O 0.0000 0.0000 0.6428
O 0.0392 0.5196 0.1483
O 0.1865 0.3729 0.9601
F 0.0000 0.0000 0.1283

Formation energy from raw total energies, eV per atom: -2.23
Total DFT energy (no corrections), eV for the cell shown: -516.3
V, Å³ per cell: 450



8.
VASP calculation (SCAN) on a crystal of LiCdFeHg2 relaxed with PBEsol.

Unit cell a=5.2036 b=5.2036 c=4.7457 alpha=90.00 beta=90.00 gamma=90.00
Space group P4/mmm (No. 123)
Symmetry-distinct sites (fractional):
Li 0.0000 0.0000 0.0000
Cd 0.0000 0.0000 0.5000
Fe 0.5000 0.5000 0.0000
Hg 0.0000 0.5000 0.5000

Energy of formation from the pure elements, eV per atom: 0.798
Total DFT energy (no corrections), eV for the cell shown: -183.3
V, Å³ per cell: 128



9.
VASP calculation (SCAN) on a crystal of ZrMn13 relaxed with PBEsol.

Unit cell a=10.8975 b=10.8975 c=10.8975 alpha=90.00 beta=90.00 gamma=90.00
Space group Fm-3c (No. 226)
Symmetry-distinct sites (fractional):
Zr 0.2500 0.2500 0.2500
Mn 0.0000 0.0000 0.0000
Mn 0.0000 0.1232 0.1784

Energy of formation from the pure elements, eV per atom: 0.164
Total DFT energy (no corrections), eV for the cell shown: -2125.8
V, Å³ per cell: 1294



10.
VASP calculation (SCAN) on a crystal of Zr2NiAg relaxed with PBEsol.

Unit cell a=3.0501 b=3.0501 c=26.8273 alpha=90.00 beta=90.00 gamma=120.00
Space group R-3m (No. 166, hexagonal axes)
Symmetry-distinct sites (fractional):
Zr 0.0000 0.0000 0.2415
Ni 0.0000 0.0000 0.5000
Ag 0.0000 0.0000 0.0000

Energy of formation from the pure elements, eV per atom: 0.085
Total DFT energy (no corrections), eV for the cell shown: -325.8
V, Å³ per cell: 216



11.
VASP calculation (SCAN) on a crystal of ZnPOs relaxed with PBEsol.

Unit cell a=5.5569 b=5.5569 c=5.5569 alpha=90.00 beta=90.00 gamma=90.00
Space group F-43m (No. 216)
Symmetry-distinct sites (fractional):
Zn 0.0000 0.0000 0.0000
P 0.2500 0.2500 0.2500
Os 0.0000 0.0000 0.5000

Energy of formation from the pure elements, eV per atom: 0.208
Total DFT energy (no corrections), eV for the cell shown: -380.7
V, Å³ per cell: 172



12.
VASP calculation (SCAN) on a crystal of SmAg2Ge2 relaxed with PBEsol.

Unit cell a=4.1915 b=4.1915 c=10.9779 alpha=90.00 beta=90.00 gamma=90.00
Space group I4/mmm (No. 139)
Symmetry-distinct sites (fractional):
Sm 0.0000 0.0000 0.0000
Ag 0.0000 0.5000 0.2500
Ge 0.0000 0.0000 0.3904

Energy of formation from the pure elements, eV per atom: -0.486
Total DFT energy (no corrections), eV for the cell shown: -295.6
V, Å³ per cell: 193



13.
VASP calculation (SCAN) on a crystal of FePOs2 relaxed with PBEsol.

Unit cell a=2.8266 b=4.7215 c=8.0417 alpha=90.00 beta=90.00 gamma=90.00
Space group Cmmm (No. 65)
Symmetry-distinct sites (fractional):
Fe 0.0000 0.0000 0.0000
P 0.0000 0.0000 0.5000
Os 0.0000 0.5000 0.2680

Energy of formation from the pure elements, eV per atom: 0.442
Total DFT energy (no corrections), eV for the cell shown: -341.0
V, Å³ per cell: 107



14.
VASP calculation (SCAN) on a crystal of LiZnIn2 relaxed with PBEsol.

Unit cell a=3.0798 b=3.0798 c=8.4095 alpha=90.00 beta=90.00 gamma=90.00
Space group P4mm (No. 99)
Symmetry-distinct sites (fractional):
Li 0.0000 0.0000 0.0000
Zn 0.5000 0.5000 0.1992
In 0.0000 0.0000 0.4461
In 0.5000 0.5000 0.7502

Energy of formation from the pure elements, eV per atom: -0.062
Total DFT energy (no corrections), eV for the cell shown: -82.9
V, Å³ per cell: 80



15.
VASP calculation (SCAN) on a crystal of TaCo4Os relaxed with PBEsol.

Unit cell a=6.5435 b=6.5435 c=6.5435 alpha=90.00 beta=90.00 gamma=90.00
Space group F-43m (No. 216)
Symmetry-distinct sites (fractional):
Ta 0.0000 0.0000 0.0000
Co 0.1241 0.1241 0.6241
Os 0.2500 0.2500 0.2500

Energy of formation from the pure elements, eV per atom: -0.071
Total DFT energy (no corrections), eV for the cell shown: -832.4
V, Å³ per cell: 280



16.
VASP calculation (SCAN) on a crystal of BaRh2Se relaxed with PBEsol.

Unit cell a=4.8890 b=4.0380 c=5.0064 alpha=90.00 beta=93.79 gamma=90.00
Space group P2/m (No. 10)
Symmetry-distinct sites (fractional):
Ba 0.0000 0.0000 0.0000
Rh 0.4470 0.5000 0.7567
Se 0.5000 0.0000 0.5000

Formation energy from raw total energies, eV per atom: -0.37
Total DFT energy (no corrections), eV for the cell shown: -128.7
V, Å³ per cell: 99



17.
VASP calculation (SCAN) on a crystal of ZrFeCuIr2 relaxed with PBEsol.

Unit cell a=4.4054 b=4.4054 c=4.4974 alpha=90.00 beta=90.00 gamma=90.00
Space group P4/mmm (No. 123)
Symmetry-distinct sites (fractional):
Zr 0.0000 0.0000 0.0000
Fe 0.0000 0.0000 0.5000
Cu 0.5000 0.5000 0.0000
Ir 0.0000 0.5000 0.5000

Energy of formation from the pure elements, eV per atom: 0.875
Total DFT energy (no corrections), eV for the cell shown: -201.9
V, Å³ per cell: 87



18.
VASP calculation (SCAN) on a crystal of In2HgBi2 relaxed with PBEsol.

Unit cell a=8.9775 b=8.9775 c=3.5936 alpha=90.00 beta=90.00 gamma=90.00
Space group P4/mbm (No. 127)
Symmetry-distinct sites (fractional):
In 0.1425 0.3575 0.0000
Hg 0.0000 0.0000 0.5000
Bi 0.1562 0.6562 0.5000

Energy of formation from the pure elements, eV per atom: 0.099
Total DFT energy (no corrections), eV for the cell shown: -583.2
V, Å³ per cell: 290



19.
VASP calculation (SCAN) on a crystal of Al2Tl2Bi relaxed with PBEsol.

Unit cell a=4.4340 b=4.4340 c=12.9454 alpha=90.00 beta=90.00 gamma=90.00
Space group I4/mmm (No. 139)
Symmetry-distinct sites (fractional):
Al 0.0000 0.0000 0.0978
Tl 0.0000 0.5000 0.2500
Bi 0.0000 0.0000 0.5000

Energy of formation from the pure elements, eV per atom: 0.292
Total DFT energy (no corrections), eV for the cell shown: -474.7
V, Å³ per cell: 255



20.
VASP calculation (SCAN) on a crystal of Li3CuSn relaxed with PBEsol.

Unit cell a=4.5025 b=4.5025 c=4.5025 alpha=90.00 beta=90.00 gamma=90.00
Space group Pm-3m (No. 221)
Symmetry-distinct sites (fractional):
Li 0.0000 0.0000 0.5000
Cu 0.0000 0.0000 0.0000
Sn 0.5000 0.5000 0.5000

Energy of formation from the pure elements, eV per atom: 0.090
Total DFT energy (no corrections), eV for the cell shown: -57.8
V, Å³ per cell: 91